NaAc2Ag after structural relaxation, computed with PBE.

Output
The energy above the most stable polymorph in this dataset is 73 meV/atom. Its energy of formation from the pure elements is 51 meV per atom.

Cell and atoms, written as CIF:
```
data_NaAc2Ag
_space_group_name_H-M_alt 'F m -3 m'
_space_group_IT_number 225
_space_group_name_Hall '-F 4 2 3'
_cell_length_a 8.195
_cell_length_b 8.195
_cell_length_c 8.195
_cell_angle_alpha 90.00
_cell_angle_beta 90.00
_cell_angle_gamma 90.00
loop_
_atom_site_label
_atom_site_type_symbol
_atom_site_fract_x
_atom_site_fract_y
_atom_site_fract_z
Na1 Na 0.000 0.000 0.000
Ac1 Ac 0.250 0.250 0.250
Ag1 Ag 0.000 0.000 0.500
```

=====

Pm2Dy6In after structural relaxation, computed with PBE.

Output
The energy above the most stable polymorph in this dataset is 28 meV/atom. Its energy of formation from the pure elements is 14 meV per atom.

Cell and atoms, written as CIF:
```
data_Pm2Dy6In
_space_group_name_H-M_alt 'C 1 2/m 1'
_space_group_IT_number 12
_cell_length_a 16.771
_cell_length_b 9.699
_cell_length_c 3.398
_cell_angle_alpha 90.00
_cell_angle_beta 90.10
_cell_angle_gamma 90.00
loop_
_space_group_symop_operation_xyz
'x,y,z'
'-x,-y,-z'
'-x,y,-z'
'x,-y,z'
'x+1/2,y+1/2,z'
'-x+1/2,-y+1/2,-z'
'-x+1/2,y+1/2,-z'
'x+1/2,-y+1/2,z'
loop_
_atom_site_label
_atom_site_type_symbol
_atom_site_fract_x
_atom_site_fract_y
_atom_site_fract_z
Pm1 Pm 0.167 0.000 0.000
Dy1 Dy 0.000 0.174 0.500
Dy2 Dy 0.163 0.337 0.499
In1 In 0.000 0.500 0.000
```

=====

YZrSb2Te after structural relaxation, computed with PBE.

Output
The energy above the most stable polymorph in this dataset is 0 meV/atom. The calculation puts the uncorrected formation energy at -0.114 eV/atom.

Cell and atoms, written as CIF:
```
data_YZrSb2Te
_space_group_name_H-M_alt 'P 4/m m m'
_space_group_IT_number 123
_space_group_name_Hall '-P 4 2'
_cell_length_a 5.510
_cell_length_b 5.510
_cell_length_c 5.537
_cell_angle_alpha 90.00
_cell_angle_beta 90.00
_cell_angle_gamma 90.00
loop_
_atom_site_label
_atom_site_type_symbol
_atom_site_fract_x
_atom_site_fract_y
_atom_site_fract_z
Y1 Y 0.000 0.000 0.000
Zr1 Zr 0.500 0.500 0.500
Sb1 Sb 0.000 0.500 0.500
Te1 Te 0.500 0.500 0.000
```

=====

AlInIN2 after structural relaxation, computed with PBE.

Output
The energy above the most stable polymorph in this dataset is 0 meV/atom. The calculation puts the uncorrected formation energy at 0.883 eV/atom.

Cell and atoms, written as CIF:
```
data_AlInIN2
_space_group_name_H-M_alt 'P 4/m m m'
_space_group_IT_number 123
_space_group_name_Hall '-P 4 2'
_cell_length_a 3.998
_cell_length_b 3.998
_cell_length_c 5.916
_cell_angle_alpha 90.00
_cell_angle_beta 90.00
_cell_angle_gamma 90.00
loop_
_atom_site_label
_atom_site_type_symbol
_atom_site_fract_x
_atom_site_fract_y
_atom_site_fract_z
Al1 Al 0.000 0.000 0.000
In1 In 0.500 0.500 0.500
I1 I 0.000 0.000 0.500
N1 N 0.000 0.500 0.000
```

=====

HoScMnZn after structural relaxation, computed with PBE.

Output
Its energy of formation from the pure elements is -60 meV per atom.

Cell and atoms, written as CIF:
```
data_HoScMnZn
_space_group_name_H-M_alt 'F -4 3 m'
_space_group_IT_number 216
_space_group_name_Hall 'F -4 2 3'
_cell_length_a 6.852
_cell_length_b 6.852
_cell_length_c 6.852
_cell_angle_alpha 90.00
_cell_angle_beta 90.00
_cell_angle_gamma 90.00
loop_
_atom_site_label
_atom_site_type_symbol
_atom_site_fract_x
_atom_site_fract_y
_atom_site_fract_z
Ho1 Ho 0.000 0.000 0.000
Sc1 Sc 0.000 0.000 0.500
Mn1 Mn 0.250 0.250 0.750
Zn1 Zn 0.250 0.250 0.250
```

=====

MgPdSe after structural relaxation, computed with PBE.

Output
The calculation puts the uncorrected formation energy at -0.664 eV/atom.

Cell and atoms, written as CIF:
```
data_MgPdSe
_space_group_name_H-M_alt 'C 1 2/m 1'
_space_group_IT_number 12
_cell_length_a 9.190
_cell_length_b 3.930
_cell_length_c 8.122
_cell_angle_alpha 90.00
_cell_angle_beta 124.29
_cell_angle_gamma 90.00
loop_
_space_group_symop_operation_xyz
'x,y,z'
'-x,-y,-z'
'-x,y,-z'
'x,-y,z'
'x+1/2,y+1/2,z'
'-x+1/2,-y+1/2,-z'
'-x+1/2,y+1/2,-z'
'x+1/2,-y+1/2,z'
loop_
_atom_site_label
_atom_site_type_symbol
_atom_site_fract_x
_atom_site_fract_y
_atom_site_fract_z
Mg1 Mg 0.242 0.000 0.267
Pd1 Pd 0.132 0.000 0.882
Se1 Se 0.069 0.500 0.321
```

=====

Pa2In9Pb after structural relaxation, computed with PBE.

Output
Its energy of formation from the pure elements is -40 meV per atom.

Cell and atoms, written as CIF:
```
data_Pa2In9Pb
_space_group_name_H-M_alt 'P 4/m m m'
_space_group_IT_number 123
_space_group_name_Hall '-P 4 2'
_cell_length_a 4.680
_cell_length_b 4.680
_cell_length_c 14.220
_cell_angle_alpha 90.00
_cell_angle_beta 90.00
_cell_angle_gamma 90.00
loop_
_atom_site_label
_atom_site_type_symbol
_atom_site_fract_x
_atom_site_fract_y
_atom_site_fract_z
Pa1 Pa 0.000 0.000 0.160
In1 In 0.000 0.500 0.000
In2 In 0.000 0.500 0.326
In3 In 0.500 0.500 0.160
In4 In 0.500 0.500 0.500
Pb1 Pb 0.000 0.000 0.500
```

=====

LaDy2Tm8 after structural relaxation, computed with PBE.

Output
The energy above the most stable polymorph in this dataset is 0 meV/atom. Its energy of formation from the pure elements is 32 meV per atom.

Cell and atoms, written as CIF:
```
data_LaDy2Tm8
_space_group_name_H-M_alt 'C 1 2/m 1'
_space_group_IT_number 12
_cell_length_a 17.979
_cell_length_b 4.982
_cell_length_c 7.883
_cell_angle_alpha 90.00
_cell_angle_beta 105.28
_cell_angle_gamma 90.00
loop_
_space_group_symop_operation_xyz
'x,y,z'
'-x,-y,-z'
'-x,y,-z'
'x,-y,z'
'x+1/2,y+1/2,z'
'-x+1/2,-y+1/2,-z'
'-x+1/2,y+1/2,-z'
'x+1/2,-y+1/2,z'
loop_
_atom_site_label
_atom_site_type_symbol
_atom_site_fract_x
_atom_site_fract_y
_atom_site_fract_z
La1 La 0.000 0.000 0.000
Dy1 Dy 0.228 0.500 0.637
Tm1 Tm 0.046 0.500 0.725
Tm2 Tm 0.091 0.000 0.459
Tm3 Tm 0.138 0.500 0.184
Tm4 Tm 0.183 0.000 0.908
```

=====

Which calculated total energy belongs to each record? In order, -3.045; -4.414; -5.393; -4.054; -5.398; -4.088; -3.986; -4.505 eV/atom.